Record 1
{"formula": "La3UN4", "functional": "PBE", "state": "relaxed", "volume_a3_per_fu": 137.1, "rho_g_cm3": 8.61, "e_form_raw_ev_per_atom": -1.39, "e_above_lowest_polymorph_mev_per_atom": 0, "cell": [[6.339, 0.000, 0.000], [0.000, 7.314, 0.000], [-2.066, 0.000, 5.915]], "species": ["La", "La", "La", "La", "La", "La", "U", "U", "N", "N", "N", "N", "N", "N", "N", "N"], "fractional_positions": [[0.000, 0.124, 0.250], [0.000, 0.375, 0.750], [0.000, 0.625, 0.250], [0.000, 0.876, 0.750], [0.500, 0.376, 0.250], [0.500, 0.624, 0.750], [0.500, 0.123, 0.750], [0.500, 0.877, 0.250], [0.281, 0.339, 0.536], [0.281, 0.661, 0.036], [0.294, 0.105, 0.998], [0.294, 0.895, 0.498], [0.706, 0.105, 0.502], [0.706, 0.895, 0.002], [0.719, 0.339, 0.964], [0.719, 0.661, 0.464]]}



Record 2
{"formula": "La5U3N8", "functional": "PBE", "state": "relaxed", "volume_a3_per_fu": 264.5, "rho_g_cm3": 9.55, "e_form_raw_ev_per_atom": -1.38, "cell": [[3.588, 2.072, 5.930], [-3.588, 2.072, 5.930], [0.000, -4.143, 5.930]], "species": ["La", "La", "La", "La", "La", "U", "U", "U", "N", "N", "N", "N", "N", "N", "N", "N"], "fractional_positions": [[0.000, 0.000, 0.000], [0.000, 0.500, 0.500], [0.500, 0.000, 0.500], [0.500, 0.500, 0.000], [0.500, 0.500, 0.500], [0.000, 0.000, 0.500], [0.000, 0.500, 0.000], [0.500, 0.000, 0.000], [0.202, 0.750, 0.750], [0.232, 0.232, 0.232], [0.250, 0.250, 0.798], [0.250, 0.798, 0.250], [0.750, 0.202, 0.750], [0.750, 0.750, 0.202], [0.768, 0.768, 0.768], [0.798, 0.250, 0.250]]}



Copy entry 2 word for word.
{"formula": "La5U3N8", "functional": "PBE", "state": "relaxed", "volume_a3_per_fu": 264.5, "rho_g_cm3": 9.55, "e_form_raw_ev_per_atom": -1.38, "cell": [[3.588, 2.072, 5.930], [-3.588, 2.072, 5.930], [0.000, -4.143, 5.930]], "species": ["La", "La", "La", "La", "La", "U", "U", "U", "N", "N", "N", "N", "N", "N", "N", "N"], "fractional_positions": [[0.000, 0.000, 0.000], [0.000, 0.500, 0.500], [0.500, 0.000, 0.500], [0.500, 0.500, 0.000], [0.500, 0.500, 0.500], [0.000, 0.000, 0.500], [0.000, 0.500, 0.000], [0.500, 0.000, 0.000], [0.202, 0.750, 0.750], [0.232, 0.232, 0.232], [0.250, 0.250, 0.798], [0.250, 0.798, 0.250], [0.750, 0.202, 0.750], [0.750, 0.750, 0.202], [0.768, 0.768, 0.768], [0.798, 0.250, 0.250]]}



What is the formula in the first record?
La3UN4